Record 1
Computed, not measured: Li2Si2Pt3 after structural relaxation at the PBE level of DFT.

Results
DFT total energy: -5.356 eV/atom
Total magnetization: 0.0 μB/f.u.
Raw formation energy: -0.67 eV per atom
Symmetry: C2/m (12)
Crystal system: monoclinic

a b c (Å): 10.1022 3.5023 6.9394
angles (deg): 90.00 115.41 90.00
Atoms (fractional coordinates):
Li1 0.1247 0.0000 0.2804
Li2 0.3753 0.5000 0.7196
Li3 0.6247 0.5000 0.2804
Li4 0.8753 0.0000 0.7196
Si1 0.1539 0.0000 0.7365
Si2 0.3461 0.5000 0.2635
Si3 0.6539 0.5000 0.7365
Si4 0.8461 0.0000 0.2635
Pt1 0.0000 0.5000 0.5000
Pt2 0.1190 0.5000 0.9568
Pt3 0.3810 0.0000 0.0432
Pt4 0.5000 0.0000 0.5000
Pt5 0.6190 0.0000 0.9568
Pt6 0.8810 0.5000 0.0432

***

Record 2
Computed, not measured: LiSiPt after structural relaxation at the PBE level of DFT.

Results
DFT total energy: -5.065 eV/atom
Total magnetization: 0.0 μB/f.u.
Raw formation energy: -0.61 eV per atom
Symmetry: I4mm (107)
Crystal system: tetragonal

a b c (Å): 3.1793 3.1793 7.9068
angles (deg): 90.00 90.00 90.00
Atoms (fractional coordinates):
Li1 0.0000 0.0000 0.0000
Li2 0.5000 0.5000 0.5000
Si1 0.0000 0.0000 0.6710
Si2 0.5000 0.5000 0.1710
Pt1 0.0000 0.0000 0.3271
Pt2 0.5000 0.5000 0.8271

***

Record 3
Computed, not measured: LiSiPt3 after structural relaxation at the PBE level of DFT.

Results
DFT total energy: -5.205 eV/atom
Total magnetization: 0.0 μB/f.u.
Polymorph energy (0 for the lowest one): 567 meV/atom
Raw formation energy: -0.11 eV per atom
Symmetry: Pm-3m (221)
Crystal system: cubic

a b c (Å): 4.5381 4.5381 4.5381
angles (deg): 90.00 90.00 90.00
Atoms (fractional coordinates):
Li1 0.0000 0.0000 0.0000
Si1 0.5000 0.5000 0.5000
Pt1 0.0000 0.5000 0.5000
Pt2 0.5000 0.0000 0.5000
Pt3 0.5000 0.5000 0.0000